Entry 1:
# Ti3Ga4Fe PBE relaxed
# Total magnetization   0.1775 μB/atom
# Formation energy from the elements   -0.317 eV/atom
data_Ti3Ga4Fe
_chemical_formula_sum 'Ti6 Ga8 Fe2'
_symmetry_space_group_name_H-M 'P m n 21'
_symmetry_Int_Tables_number 31
_symmetry_space_group_name_Hall 'P 2ac -2'
_cell_length_a 8.788
_cell_length_b 5.346
_cell_length_c 5.214
_cell_angle_alpha 90.00
_cell_angle_beta 90.00
_cell_angle_gamma 90.00
loop_
_atom_site_label
_atom_site_type_symbol
_atom_site_fract_x
_atom_site_fract_y
_atom_site_fract_z
Ti1 Ti 0.000 0.115 0.000
Ti2 Ti 0.226 0.634 0.735
Ga1 Ga 0.000 0.339 0.504
Ga2 Ga 0.000 0.607 0.074
Ga3 Ga 0.241 0.871 0.234
Fe1 Fe 0.000 0.847 0.551

Entry 2:
# Ti8Ga2Fe PBE relaxed
# Total magnetization   0.0000 μB/atom
# Formation energy from the elements   -0.246 eV/atom
data_Ti8Ga2Fe
_chemical_formula_sum 'Ti16 Ga4 Fe2'
_symmetry_space_group_name_H-M 'I m m m'
_symmetry_Int_Tables_number 71
_symmetry_space_group_name_Hall '-I 2 2'
_cell_length_a 4.534
_cell_length_b 5.996
_cell_length_c 13.005
_cell_angle_alpha 90.00
_cell_angle_beta 90.00
_cell_angle_gamma 90.00
loop_
_atom_site_label
_atom_site_type_symbol
_atom_site_fract_x
_atom_site_fract_y
_atom_site_fract_z
Ti1 Ti 0.000 0.000 0.179
Ti2 Ti 0.000 0.234 0.368
Ti3 Ti 0.000 0.260 0.000
Ga1 Ga 0.000 0.500 0.188
Fe1 Fe 0.000 0.500 0.500

Entry 3:
# Ti6GaFe PBE relaxed
# Total magnetization   0.2089 μB/atom
# Formation energy from the elements   0.148 eV/atom
data_Ti6GaFe
_chemical_formula_sum 'Ti12 Ga2 Fe2'
_symmetry_space_group_name_H-M 'C 1 2/m 1'
_symmetry_Int_Tables_number 12
_symmetry_space_group_name_Hall '-C 2y'
_cell_length_a 5.700
_cell_length_b 9.475
_cell_length_c 5.674
_cell_angle_alpha 90.00
_cell_angle_beta 117.43
_cell_angle_gamma 90.00
loop_
_atom_site_label
_atom_site_type_symbol
_atom_site_fract_x
_atom_site_fract_y
_atom_site_fract_z
Ti1 Ti 0.234 0.213 0.241
Ti2 Ti 0.239 0.000 0.770
Ga1 Ga 0.000 0.500 0.500
Fe1 Fe 0.000 0.000 0.000

Entry 4:
# TiGa3Fe3 PBE relaxed
# Total magnetization   0.0572 μB/atom
# Formation energy from the elements   0.195 eV/atom
data_TiGa3Fe3
_chemical_formula_sum 'Ti2 Ga6 Fe6'
_symmetry_space_group_name_H-M 'P 63/m'
_symmetry_Int_Tables_number 176
_symmetry_space_group_name_Hall '-P 6c'
_cell_length_a 9.8997
_cell_length_b 9.8997
_cell_length_c 2.6855
_cell_angle_alpha 90.00
_cell_angle_beta 90.00
_cell_angle_gamma 120.00
loop_
_atom_site_label
_atom_site_type_symbol
_atom_site_fract_x
_atom_site_fract_y
_atom_site_fract_z
Ti1 Ti 0.3333 0.6667 0.2500
Ga1 Ga 0.1142 0.3502 0.2500
Fe1 Fe 0.0664 0.6112 0.2500

Entry 5:
# Ti4GaFe5 PBE relaxed
# Total magnetization   0.0000 μB/atom
# Formation energy from the elements   -0.375 eV/atom
data_Ti4GaFe5
_chemical_formula_sum 'Ti4 Ga1 Fe5'
_symmetry_space_group_name_H-M 'P 4/m m m'
_symmetry_Int_Tables_number 123
_symmetry_space_group_name_Hall '-P 4 2'
_cell_length_a 2.951
_cell_length_b 2.951
_cell_length_c 14.559
_cell_angle_alpha 90.00
_cell_angle_beta 90.00
_cell_angle_gamma 90.00
loop_
_atom_site_label
_atom_site_type_symbol
_atom_site_fract_x
_atom_site_fract_y
_atom_site_fract_z
Ti1 Ti 0.000 0.000 0.102
Ti2 Ti 0.000 0.000 0.307
Ga1 Ga 0.000 0.000 0.500
Fe1 Fe 0.500 0.500 0.000
Fe2 Fe 0.500 0.500 0.201
Fe3 Fe 0.500 0.500 0.401

Entry 6:
# TiGaFe2 PBE relaxed
# Total magnetization   0.8424 μB/atom
# Formation energy from the elements   0.261 eV/atom
data_TiGaFe2
_chemical_formula_sum 'Ti4 Ga4 Fe8'
_symmetry_space_group_name_H-M 'I -4 2 d'
_symmetry_Int_Tables_number 122
_symmetry_space_group_name_Hall 'I -4 2bw'
_cell_length_a 6.672
_cell_length_b 6.672
_cell_length_c 5.212
_cell_angle_alpha 90.00
_cell_angle_beta 90.00
_cell_angle_gamma 90.00
loop_
_atom_site_label
_atom_site_type_symbol
_atom_site_fract_x
_atom_site_fract_y
_atom_site_fract_z
Ti1 Ti 0.000 0.000 0.000
Ga1 Ga 0.000 0.000 0.500
Fe1 Fe 0.249 0.250 0.125

Entry 7:
# Ti2GaFeW PBE relaxed
# Total magnetization   0.0002 μB/atom
# Formation energy from the elements   1.072 eV/atom
data_Ti2GaFeW
_chemical_formula_sum 'Ti2 Ga1 Fe1 W1'
_symmetry_space_group_name_H-M 'P 4/m m m'
_symmetry_Int_Tables_number 123
_symmetry_space_group_name_Hall '-P 4 2'
_cell_length_a 4.702
_cell_length_b 4.702
_cell_length_c 4.386
_cell_angle_alpha 90.00
_cell_angle_beta 90.00
_cell_angle_gamma 90.00
loop_
_atom_site_label
_atom_site_type_symbol
_atom_site_fract_x
_atom_site_fract_y
_atom_site_fract_z
Ti1 Ti 0.000 0.500 0.000
Ga1 Ga 0.000 0.000 0.500
Fe1 Fe 0.500 0.500 0.500
W1 W 0.500 0.500 0.000

Entry 8:
# Tl3GaFe PBE relaxed
# Total magnetization   0.6571 μB/atom
# Formation energy from the elements   0.900 eV/atom
data_Tl3GaFe
_chemical_formula_sum 'Tl3 Ga1 Fe1'
_symmetry_space_group_name_H-M 'P m -3 m'
_symmetry_Int_Tables_number 221
_symmetry_space_group_name_Hall '-P 4 2 3'
_cell_length_a 5.411
_cell_length_b 5.411
_cell_length_c 5.411
_cell_angle_alpha 90.00
_cell_angle_beta 90.00
_cell_angle_gamma 90.00
loop_
_atom_site_label
_atom_site_type_symbol
_atom_site_fract_x
_atom_site_fract_y
_atom_site_fract_z
Tl1 Tl 0.000 0.000 0.500
Ga1 Ga 0.000 0.000 0.000
Fe1 Fe 0.500 0.500 0.500